Record 1
BaSr2ZnIr: optimized geometry, PBE-GGA.

a b c (Å): 5.844 5.844 5.157
angles (deg): 90.00 90.00 90.00
Element x y z (fractional)
Ba1 0.500 0.500 0.500
Zn1 0.000 0.000 0.500
Sr1 0.000 0.500 0.000
Ir1 0.000 0.000 0.000
Sr2 0.500 0.000 0.000

Output
**Offset from the most stable computed form**: 0.000 eV per atom
**Formation energy**: -0.028 eV per atom

---

Record 2
BaSrZn2Ir: optimized geometry, PBE-GGA.

a b c (Å): 5.113 5.113 5.478
angles (deg): 90.00 90.00 90.00
Element x y z (fractional)
Zn1 0.000 0.500 0.000
Ir1 0.000 0.000 0.000
Zn2 0.500 0.000 0.000
Sr1 0.000 0.000 0.500
Ba1 0.500 0.500 0.500

Output
**Offset from the most stable computed form**: 0.000 eV per atom
**Formation energy**: -0.081 eV per atom

---

Record 3
BaSrZrIr2: optimized geometry, PBE-GGA.

a b c (Å): 5.184 5.483 5.184
angles (deg): 90.00 90.00 90.00
Element x y z (fractional)
Zr1 0.500 0.500 0.500
Ba1 0.000 0.000 0.000
Ir1 0.500 0.000 0.000
Ir2 0.000 0.000 0.500
Sr1 0.000 0.500 0.000

Output
**Formation energy**: 1.830 eV per atom